<w>
Here is SrZrMo2 after structural relaxation from the Alexandria database. Energies are from PBE-GGA.

a b c (Å): 3.1742 4.1952 7.4577
angles (deg): 90.00 100.31 90.00
Closest atoms and distances in Å follow each position.
Sites, in units of the cell vectors:
Sr 0.0000 0.0000 0.0000  2 Sr 3.17, 3 Mo 3.33-3.36
Zr 0.6457 0.5000 0.3691  3 Mo 2.59-2.79
Mo 0.1041 0.0000 0.5599  2 Mo 2.51, 2 Zr 2.79
Mo 0.4657 0.5000 0.6946  2 Mo 2.51, 1 Zr 2.59

Computed properties:
spin magnetization	0.00	μB per cell
Fermi-level density of states	4.64	states/eV/f.u.

=====

<x>
Here is SrZrMo2 after structural relaxation from the Alexandria database. Energies are from PBE-GGA.

a b c (Å): 5.8774 5.8774 2.7565
angles (deg): 90.00 90.00 119.13
Closest atoms and distances in Å follow each position.
Sites, in units of the cell vectors:
Sr 0.0000 0.0000 0.0000  2 Sr 2.76, 2 Zr 2.98
Zr 0.5000 0.5000 0.0000  2 Zr 2.76, 2 Sr 2.98
Mo 0.0000 0.5000 0.5000  4 Mo 2.76-2.98
Mo 0.5000 0.0000 0.5000  4 Mo 2.76-2.98

Computed properties:
spin magnetization	0.00	μB per cell
Fermi-level density of states	3.82	states/eV/f.u.

=====

<y>
Here is SrZrMo2 after structural relaxation from the Alexandria database. Energies are from PBE-GGA.

a b c (Å): 9.7214 9.7214 9.7214
angles (deg): 19.14 19.14 19.14
Closest atoms and distances in Å follow each position.
Sites, in units of the cell vectors:
Sr 0.0000 0.0000 0.0000  6 Sr 3.23, 6 Mo 3.27
Zr 0.5000 0.5000 0.5000  6 Mo 2.79
Mo 0.2393 0.2393 0.2393  3 Zr 2.79
Mo 0.7607 0.7607 0.7607  3 Zr 2.79

Computed properties:
spin magnetization	0.00	μB per cell
Fermi-level density of states	5.17	states/eV/f.u.

=====

Computed stability ranking, most favorable first: <w>, <y>, <x>

=====

<w>
Here is SrZrMo2 after structural relaxation from the Alexandria database. Energies are from PBE-GGA.

a b c (Å): 4.8812 4.8812 4.8812
angles (deg): 120.11 120.11 89.81
Closest atoms and distances in Å follow each position.
Sites, in units of the cell vectors:
Sr 0.0000 0.0000 0.0000  4 Zr 2.99, 4 Mo 2.99
Zr 0.2500 0.7500 0.5000  4 Mo 2.99, 4 Sr 2.99
Mo 0.5000 0.5000 0.0000  4 Zr 2.99, 4 Mo 2.99
Mo 0.7500 0.2500 0.5000  4 Mo 2.99, 4 Sr 2.99

Computed properties:
spin magnetization	0.00	μB per cell
Fermi-level density of states	6.46	states/eV/f.u.

=====

<x>
Here is SrZrMo2 after structural relaxation from the Alexandria database. Energies are from PBE-GGA.

a b c (Å): 3.3978 4.8841 4.9482
angles (deg): 90.00 90.00 90.00
Closest atoms and distances in Å follow each position.
Sites, in units of the cell vectors:
Sr 0.0000 0.0000 0.0000  4 Zr 2.97, 4 Mo 3.00
Zr 0.5000 0.5000 0.0000  4 Sr 2.97, 4 Mo 3.00
Mo 0.0000 0.5000 0.5000  4 Mo 2.97, 4 Zr 3.00
Mo 0.5000 0.0000 0.5000  4 Mo 2.97, 4 Sr 3.00

Computed properties:
spin magnetization	0.19	μB per cell
Fermi-level density of states	5.23	states/eV/f.u.

=====

Computed stability ranking, most favorable first: <w>, <x>

=====

<w>
Here is Sr2ZrMo after structural relaxation from the Alexandria database. Energies are from PBE-GGA.

a b c (Å): 3.1193 3.1193 11.2924
angles (deg): 90.00 90.00 97.36
Closest atoms and distances in Å follow each position.
Sites, in units of the cell vectors:
Sr 0.0000 0.0000 0.2250  4 Sr 3.12, 4 Mo 3.27-3.46
Sr 0.0000 0.0000 0.7750  4 Sr 3.12, 4 Mo 3.27-3.46
Zr 0.5000 0.5000 0.5000  4 Zr 3.12
Mo 0.5000 0.5000 0.0000  4 Mo 3.12, 8 Sr 3.27-3.46

Computed properties:
spin magnetization	0.80	μB per cell
Fermi-level density of states	4.67	states/eV/f.u.

=====

<x>
Here is Sr2ZrMo after structural relaxation from the Alexandria database. Energies are from PBE-GGA.

a b c (Å): 3.1590 5.4992 6.1766
angles (deg): 90.00 90.75 90.00
Closest atoms and distances in Å follow each position.
Sites, in units of the cell vectors:
Sr 0.0026 0.0000 0.2583  4 Sr 2.99-3.19
Sr 0.9974 0.0000 0.7417  4 Sr 2.99-3.19
Zr 0.5000 0.5000 0.0000  2 Mo 3.09, 2 Zr 3.16
Mo 0.5000 0.5000 0.5000  2 Zr 3.09, 2 Mo 3.16

Computed properties:
spin magnetization	0.00	μB per cell
Fermi-level density of states	5.88	states/eV/f.u.

=====

Computed stability ranking, most favorable first: <x>, <w>

=====

<w>
Here is Sr2ZrMo after structural relaxation from the Alexandria database. Energies are from PBE-GGA.

a b c (Å): 6.3659 6.3659 3.1272
angles (deg): 92.10 92.10 122.32
Closest atoms and distances in Å follow each position.
Sites, in units of the cell vectors:
Sr 0.0000 0.5000 0.0000  4 Sr 3.07-3.13
Sr 0.5000 0.0000 0.0000  4 Sr 3.07-3.13
Zr 0.0000 0.0000 0.5000  2 Mo 3.07, 2 Zr 3.13
Mo 0.5000 0.5000 0.5000  2 Zr 3.07, 2 Mo 3.13

Computed properties:
spin magnetization	0.00	μB per cell
Fermi-level density of states	5.56	states/eV/f.u.

=====

<x>
Here is Sr2ZrMo after structural relaxation from the Alexandria database. Energies are from PBE-GGA.

a b c (Å): 4.7700 4.7700 8.8446
angles (deg): 94.18 94.18 42.93
Closest atoms and distances in Å follow each position.
Sites, in units of the cell vectors:
Sr 0.0000 0.0000 0.0000  2 Zr 3.45, 3 Mo 3.45-3.46, 2 Sr 3.49
Sr 0.2201 0.2201 0.6047  3 Zr 3.38-3.62, 2 Sr 3.49, 2 Mo 3.50
Zr 0.4662 0.4662 0.3318  3 Mo 2.49-2.74
Mo 0.7328 0.7328 0.2635  3 Zr 2.49-2.74

Computed properties:
spin magnetization	0.00	μB per cell
Fermi-level density of states	5.25	states/eV/f.u.

=====

<y>
Here is Sr2ZrMo after structural relaxation from the Alexandria database. Energies are from PBE-GGA.

a b c (Å): 9.9126 9.9126 9.9126
angles (deg): 160.22 155.17 31.94
Closest atoms and distances in Å follow each position.
Sites, in units of the cell vectors:
Sr 0.1574 0.1574 0.0000  2 Sr 3.40, 2 Mo 3.45, 2 Zr 3.68
Sr 0.8426 0.8426 0.0000  2 Sr 3.40, 2 Mo 3.45, 2 Zr 3.68
Zr 0.5000 0.0000 0.5000  4 Mo 2.73
Mo 0.0000 0.5000 0.5000  4 Zr 2.73

Computed properties:
spin magnetization	0.00	μB per cell
Fermi-level density of states	4.85	states/eV/f.u.

=====

<z>
Here is Sr2ZrMo after structural relaxation from the Alexandria database. Energies are from PBE-GGA.

a b c (Å): 4.3976 4.4129 5.5267
angles (deg): 90.00 90.00 90.00
Closest atoms and distances in Å follow each position.
Sites, in units of the cell vectors:
Sr 0.0000 0.0000 0.0000  4 Sr 3.11
Sr 0.5000 0.5000 0.0000  4 Sr 3.11
Zr 0.0000 0.5000 0.5000  4 Mo 3.11
Mo 0.5000 0.0000 0.5000  4 Zr 3.11

Computed properties:
spin magnetization	0.00	μB per cell
Fermi-level density of states	7.60	states/eV/f.u.

=====

Computed stability ranking, most favorable first: <y>, <x>, <z>, <w>